--- A ---
The following is a GGA-PBE calculation of a relaxed structure of ZnAsNF2, from the Alexandria database.

Results
The calculation puts the density of states at the Fermi level at 0.311 states/eV per atom. For the spin magnetization, the calculation gives 0.01 μB per formula unit. As for the space group: No. 123.

The structure in POSCAR format:
```
ZnAsNF2
1.0
3.780 0.000 0.000
0.000 3.780 0.000
0.000 0.000 4.551
Zn As N F
1 1 1 2
Direct
0.000 0.000 0.000 Zn
0.500 0.500 0.500 As
0.000 0.000 0.500 N
0.000 0.500 0.000 F
0.500 0.000 0.000 F
```

--- B ---
The following is a GGA-PBE calculation of a relaxed structure of ZnAsNF2, from the Alexandria database.

Results
The calculation puts the density of states at the Fermi level at 0.319 states/eV per atom. For the spin magnetization, the calculation gives 0.00 μB per formula unit. As for the space group: No. 123.

The structure in POSCAR format:
```
ZnAsNF2
1.0
4.118 0.000 0.000
0.000 4.118 0.000
0.000 0.000 4.093
Zn As N F
1 1 1 2
Direct
0.000 0.000 0.000 Zn
0.500 0.500 0.500 As
0.500 0.500 0.000 N
0.000 0.500 0.500 F
0.500 0.000 0.500 F
```

Stability ranking, top entry: B; the second entry is 4.8 kJ/mol of atoms less favorable.

--- A ---
The following is a GGA-PBE calculation of a relaxed structure of ZnAsN2F, from the Alexandria database.

Results
The calculation puts the density of states at the Fermi level at 0.268 states/eV per atom. For the spin magnetization, the calculation gives 0.00 μB per formula unit. As for the space group: No. 123.

The structure in POSCAR format:
```
ZnAsN2F
1.0
3.810 0.000 0.000
0.000 3.810 0.000
0.000 0.000 3.920
Zn As N F
1 1 2 1
Direct
0.000 0.000 0.000 Zn
0.500 0.500 0.500 As
0.000 0.500 0.500 N
0.500 0.000 0.500 N
0.500 0.500 0.000 F
```

--- B ---
The following is a GGA-PBE calculation of a relaxed structure of ZnAsN2F, from the Alexandria database.

Results
The calculation puts the density of states at the Fermi level at 0.442 states/eV per atom. For the spin magnetization, the calculation gives 0.00 μB per formula unit. As for the space group: No. 123.

The structure in POSCAR format:
```
ZnAsN2F
1.0
3.901 0.000 0.000
0.000 3.901 0.000
0.000 0.000 3.890
Zn As N F
1 1 2 1
Direct
0.000 0.000 0.000 Zn
0.500 0.500 0.500 As
0.000 0.500 0.000 N
0.500 0.000 0.000 N
0.000 0.000 0.500 F
```

Stability ranking, top entry: A; the second entry is 33.3 kJ/mol of atoms less favorable.

--- A ---
The following is a GGA-PBE calculation of a relaxed structure of ZrAsN2F, from the Alexandria database.

Results
The calculation puts the density of states at the Fermi level at 0.487 states/eV per atom. For the spin magnetization, the calculation gives 0.43 μB per formula unit. As for the space group: No. 123.

The structure in POSCAR format:
```
ZrAsN2F
1.0
3.996 0.000 0.000
0.000 3.996 0.000
0.000 0.000 3.820
Zr As N F
1 1 2 1
Direct
0.000 0.000 0.000 Zr
0.500 0.500 0.500 As
0.000 0.500 0.500 N
0.500 0.000 0.500 N
0.500 0.500 0.000 F
```

--- B ---
The following is a GGA-PBE calculation of a relaxed structure of ZrAsN2F, from the Alexandria database.

Results
The calculation puts the density of states at the Fermi level at 0.721 states/eV per atom. For the spin magnetization, the calculation gives 0.00 μB per formula unit. As for the space group: No. 123.

The structure in POSCAR format:
```
ZrAsN2F
1.0
3.710 0.000 0.000
0.000 3.710 0.000
0.000 0.000 5.239
Zr As N F
1 1 2 1
Direct
0.000 0.000 0.000 Zr
0.000 0.000 0.500 As
0.000 0.500 0.500 N
0.500 0.000 0.500 N
0.500 0.500 0.000 F
```

--- C ---
The following is a GGA-PBE calculation of a relaxed structure of ZrAsN2F, from the Alexandria database.

Results
The calculation puts the density of states at the Fermi level at 0.506 states/eV per atom. For the spin magnetization, the calculation gives 0.00 μB per formula unit. As for the space group: No. 123.

The structure in POSCAR format:
```
ZrAsN2F
1.0
4.273 0.000 0.000
0.000 4.273 0.000
0.000 0.000 4.007
Zr As N F
1 1 2 1
Direct
0.000 0.000 0.000 Zr
0.500 0.500 0.500 As
0.000 0.500 0.000 N
0.500 0.000 0.000 N
0.000 0.000 0.500 F
```

Stability ranking, top entry: C; the second entry is 29.1 kJ/mol of atoms less favorable.

--- A ---
The following is a GGA-PBE calculation of a relaxed structure of Na2AsF, from the Alexandria database.

Results
The calculation puts the density of states at the Fermi level at 0.195 states/eV per atom. For the spin magnetization, the calculation gives 2.00 μB per formula unit. As for the space group: No. 225.

The structure in POSCAR format:
```
Na2AsF
1.0
0.000 3.456 3.456
3.456 0.000 3.456
3.456 3.456 0.000
Na As F
2 1 1
Direct
0.250 0.250 0.250 Na
0.750 0.750 0.750 Na
0.000 0.000 0.000 As
0.500 0.500 0.500 F
```

--- B ---
The following is a GGA-PBE calculation of a relaxed structure of Na2AsF, from the Alexandria database.

Results
The calculation puts the density of states at the Fermi level at 0.244 states/eV per atom. For the spin magnetization, the calculation gives 0.00 μB per formula unit. As for the space group: No. 122.

The structure in POSCAR format:
```
Na2AsF
1.0
-3.302 3.302 3.935
3.302 -3.302 3.935
3.302 3.302 -3.935
Na As F
4 2 2
Direct
0.022 0.125 0.397 Na
0.375 0.978 0.103 Na
0.728 0.625 0.603 Na
0.875 0.272 0.897 Na
0.250 0.750 0.500 As
0.500 0.500 0.000 As
0.000 0.000 0.000 F
0.750 0.250 0.500 F
```

Stability ranking, top entry: B; the second entry is 37.2 kJ/mol of atoms less favorable.

--- A ---
The following is a GGA-PBE calculation of a relaxed structure of NaAsF2, from the Alexandria database.

Results
The calculation puts the density of states at the Fermi level at 0.130 states/eV per atom. For the spin magnetization, the calculation gives 0.00 μB per formula unit. As for the space group: No. 166.

The structure in POSCAR format:
```
NaAsF2
1.0
1.593 0.920 6.750
-1.593 0.920 6.750
0.000 -1.840 6.750
Na As F
1 1 2
Direct
0.000 0.000 0.000 Na
0.500 0.500 0.500 As
0.398 0.398 0.398 F
0.602 0.602 0.602 F
```

--- B ---
The following is a GGA-PBE calculation of a relaxed structure of NaAsF2, from the Alexandria database.

Results
The calculation puts the density of states at the Fermi level at 0.314 states/eV per atom. For the spin magnetization, the calculation gives 0.00 μB per formula unit. As for the space group: No. 122.

The structure in POSCAR format:
```
NaAsF2
1.0
-3.055 3.055 3.342
3.055 -3.055 3.342
3.055 3.055 -3.342
Na As F
2 2 4
Direct
0.000 0.000 0.000 Na
0.750 0.250 0.500 Na
0.250 0.750 0.500 As
0.500 0.500 0.000 As
0.110 0.625 0.985 F
0.375 0.360 0.485 F
0.640 0.125 0.015 F
0.875 0.890 0.515 F
```

Stability ranking, top entry: A; the second entry is 56.4 kJ/mol of atoms less favorable.

--- A ---
The following is a GGA-PBE calculation of a relaxed structure of NaAsF3, from the Alexandria database.

Results
The calculation puts the density of states at the Fermi level at 0.524 states/eV per atom. For the spin magnetization, the calculation gives 0.00 μB per formula unit. As for the space group: No. 221.

The structure in POSCAR format:
```
NaAsF3
1.0
4.408 0.000 0.000
0.000 4.408 0.000
0.000 0.000 4.408
Na As F
1 1 3
Direct
0.000 0.000 0.000 Na
0.500 0.500 0.500 As
0.000 0.500 0.500 F
0.500 0.000 0.500 F
0.500 0.500 0.000 F
```

--- B ---
The following is a GGA-PBE calculation of a relaxed structure of NaAsF3, from the Alexandria database.

Results
The calculation puts the density of states at the Fermi level at 0.562 states/eV per atom. For the spin magnetization, the calculation gives 0.04 μB per formula unit. As for the space group: No. 221.

The structure in POSCAR format:
```
NaAsF3
1.0
4.065 0.000 0.000
0.000 4.065 0.000
0.000 0.000 4.065
Na As F
1 1 3
Direct
0.000 0.000 0.000 Na
0.500 0.500 0.500 As
0.000 0.000 0.500 F
0.000 0.500 0.000 F
0.500 0.000 0.000 F
```

Stability ranking, top entry: A; the second entry is 44.0 kJ/mol of atoms less favorable.